First-principles (meta-GGA SCAN) data for a crystal of BiP2O7 relaxed with PBEsol, as listed in Alexandria.

The formation energy (no corrections) is -19.407 eV/f.u. As for the calculated volume: 142.6 Å³/f.u. Its total moment is 0.00 Bohr magnetons per cell. The theoretical density comes out at 4.5 Mg/m³. The value obtained for the electronic total energy is -162.4 eV per formula unit. The calculation puts the energy relative to the lowest polymorph listed for this composition at 0.004 eV per atom.

It has space group C2/c (No. 15), with a = 10.3040 Å, b = 8.6075 Å, c = 13.8040 Å, α = 90.00°, β = 111.28° and γ = 90.00°. The asymmetric unit holds Bi at (0.1318, 0.2481, 0.1378), P at (0.1288, 0.4616, 0.9270), P at (0.1717, 0.0646, 0.3694), O at (0.0056, 0.4597, 0.1417), O at (0.0374, 0.0658, 0.3934), O at (0.0996, 0.3079, 0.9712), O at (0.1842, 0.0913, 0.8203), O at (0.1849, 0.2085, 0.3085), O at (0.1986, 0.4187, 0.5219) and O at (0.2283, 0.4441, 0.8679).